(1)
PBE AcHf4, relaxed; space group = Pm-3m (221); formation enthalpy at 0 K = 2045 meV/atom
1.0
5.3072 0.0000 0.0000
0.0000 5.3072 0.0000
0.0000 0.0000 5.3072
Ac Hf
1 4
Direct
0.0000 0.0000 0.0000
0.0000 0.0000 0.5000
0.0000 0.5000 0.0000
0.5000 0.0000 0.0000
0.5000 0.5000 0.5000

(2)
PBE Ca2Zn2Te, relaxed; space group = P4/mbm (127); uncorrected formation energy = -0.487 eV per atom; offset from the most stable computed form = 0.00 eV per formula unit
1.0
7.7437 0.0000 0.0000
0.0000 7.7437 0.0000
0.0000 0.0000 4.2894
Ca Zn Te
4 4 2
Direct
0.1758 0.3242 0.0000
0.3242 0.8242 0.0000
0.6758 0.1758 0.0000
0.8242 0.6758 0.0000
0.1165 0.6165 0.5000
0.3835 0.1165 0.5000
0.6165 0.8835 0.5000
0.8835 0.3835 0.5000
0.0000 0.0000 0.5000
0.5000 0.5000 0.5000

(3)
PBE Nb3ReH, relaxed; space group = Pm-3m (221); offset from the most stable computed form = 8.40 eV per formula unit
1.0
4.8750 0.0000 0.0000
0.0000 4.8750 0.0000
0.0000 0.0000 4.8750
Nb Re H
3 1 1
Direct
0.0000 0.0000 0.5000
0.0000 0.5000 0.0000
0.5000 0.0000 0.0000
0.0000 0.0000 0.0000
0.5000 0.5000 0.5000

(4)
PBE Dy2HoZn9, relaxed; space group = R-3m (166); formation enthalpy at 0 K = -310 meV/atom
1.0
2.7164 1.5683 8.5612
-2.7164 1.5683 8.5612
0.0000 -3.1367 8.5612
Dy Ho Zn
2 1 9
Direct
0.1396 0.1396 0.1396
0.8604 0.8604 0.8604
0.0000 0.0000 0.0000
0.0766 0.5850 0.5850
0.3348 0.3348 0.3348
0.4150 0.4150 0.9234
0.4150 0.9234 0.4150
0.5000 0.5000 0.5000
0.5850 0.0766 0.5850
0.5850 0.5850 0.0766
0.6652 0.6652 0.6652
0.9234 0.4150 0.4150

(5)
PBE PuCrOs, relaxed; space group = Imma (74); offset from the most stable computed form = 0.00 eV per formula unit; formation enthalpy at 0 K = 36 meV/atom
1.0
-2.7763 2.8049 3.2684
2.7763 -2.8049 3.2684
2.7763 2.8049 -3.2684
Pu Cr Os
2 2 2
Direct
0.3812 0.1312 0.2500
0.6188 0.8688 0.7500
0.0000 0.5000 0.5000
0.5000 0.5000 0.0000
0.0000 0.0000 0.5000
0.0000 0.5000 0.0000

(6)
PBE Ta2VTe4, relaxed; space group = C2/m (12); uncorrected formation energy = -0.290 eV per atom
1.0
7.4301 -1.8549 0.0000
7.4301 1.8549 0.0000
-2.9223 0.0000 6.1095
Ta V Te
2 1 4
Direct
0.2449 0.2449 0.1709
0.7551 0.7551 0.8291
0.5000 0.5000 0.5000
0.1405 0.1405 0.4759
0.4021 0.4021 0.0548
0.5979 0.5979 0.9452
0.8595 0.8595 0.5241

In Mg/m³, the ρ values for the records above are, in order, 10.45; 4.37; 6.68; 8.18; 15.86; 9.10.